[1]
# LaPr2YTl2 PBE relaxed
data_LaPr2YTl2
_chemical_formula_sum 'La2 Pr4 Y2 Tl4'
_cell_length_a 5.2917
_cell_length_b 10.3556
_cell_length_c 6.9771
_cell_angle_alpha 90.00
_cell_angle_beta 90.00
_cell_angle_gamma 90.00
_symmetry_space_group_name_H-M 'P m c 21'
_symmetry_Int_Tables_number 26
_symmetry_space_group_name_Hall 'P 2c -2'
loop_
_atom_site_label
_atom_site_type_symbol
_atom_site_fract_x
_atom_site_fract_y
_atom_site_fract_z
La1 La 0.0000 0.0436 0.0000
Pr1 Pr 0.0000 0.3184 0.3694
Pr2 Pr 0.5000 0.4532 0.0950
Y1 Y 0.5000 0.1902 0.7208
Tl1 Tl 0.0000 0.3570 0.8360
Tl2 Tl 0.5000 0.1286 0.2647
# E_form, meV per atom: -283
# Crystal system: orthorhombic

---

[2]
# FeCoPb2 PBE relaxed
data_FeCoPb2
_chemical_formula_sum 'Fe3 Co3 Pb6'
_cell_length_a 3.3008
_cell_length_b 3.3008
_cell_length_c 24.8907
_cell_angle_alpha 90.00
_cell_angle_beta 90.00
_cell_angle_gamma 120.00
_symmetry_space_group_name_H-M 'R -3 m'
_symmetry_Int_Tables_number 166
_symmetry_space_group_name_Hall '-R 3 2"'
loop_
_atom_site_label
_atom_site_type_symbol
_atom_site_fract_x
_atom_site_fract_y
_atom_site_fract_z
Fe1 Fe 0.0000 0.0000 0.0000
Co1 Co 0.0000 0.0000 0.5000
Pb1 Pb 0.0000 0.0000 0.2464
# E_form, meV per atom: 657
# Crystal system: trigonal

---

[3]
# RbAsO2 PBE relaxed
data_RbAsO2
_chemical_formula_sum 'Rb4 As4 O8'
_cell_length_a 6.0812
_cell_length_b 6.0812
_cell_length_c 8.9515
_cell_angle_alpha 90.00
_cell_angle_beta 90.00
_cell_angle_gamma 90.00
_symmetry_space_group_name_H-M 'I -4 2 d'
_symmetry_Int_Tables_number 122
_symmetry_space_group_name_Hall 'I -4 2bw'
loop_
_atom_site_label
_atom_site_type_symbol
_atom_site_fract_x
_atom_site_fract_y
_atom_site_fract_z
Rb1 Rb 0.0000 0.0000 0.0000
As1 As 0.0000 0.0000 0.5000
O1 O 0.1222 0.2500 0.6250
# Formation energy (no corrections), eV per atom: -1.09
# Crystal system: tetragonal

---

[4]
# P3AuBr12 PBE relaxed
data_P3AuBr12
_chemical_formula_sum 'P18 Au6 Br72'
_cell_length_a 13.4229
_cell_length_b 13.4229
_cell_length_c 34.2083
_cell_angle_alpha 90.00
_cell_angle_beta 90.00
_cell_angle_gamma 120.00
_symmetry_space_group_name_H-M 'R 3 c'
_symmetry_Int_Tables_number 161
_symmetry_space_group_name_Hall 'R 3 -2"c'
loop_
_atom_site_label
_atom_site_type_symbol
_atom_site_fract_x
_atom_site_fract_y
_atom_site_fract_z
P1 P 0.0554 0.3352 0.0000
Au1 Au 0.0000 0.0000 0.1345
Br1 Br 0.0235 0.1838 0.3632
Br2 Br 0.0337 0.4689 0.1511
Br3 Br 0.1207 0.4192 0.7156
Br4 Br 0.1576 0.4751 0.2994
# Formation energy (no corrections), eV per atom: -0.22
# Crystal system: trigonal

---

[5]
# Sr5Nb5O17 PBE relaxed
data_Sr5Nb5O17
_chemical_formula_sum 'Sr10 Nb10 O34'
_cell_length_a 5.7574
_cell_length_b 33.2178
_cell_length_c 4.0444
_cell_angle_alpha 90.00
_cell_angle_beta 90.00
_cell_angle_gamma 90.00
_symmetry_space_group_name_H-M 'P n n m'
_symmetry_Int_Tables_number 58
_symmetry_space_group_name_Hall '-P 2 2n'
loop_
_atom_site_label
_atom_site_type_symbol
_atom_site_fract_x
_atom_site_fract_y
_atom_site_fract_z
Sr1 Sr 0.0000 0.0000 0.0000
Sr2 Sr 0.0019 0.4104 0.5000
Sr3 Sr 0.0714 0.2176 0.0000
Nb1 Nb 0.0000 0.5000 0.0000
Nb2 Nb 0.0084 0.0899 0.5000
Nb3 Nb 0.0381 0.3236 0.0000
O1 O 0.0000 0.5000 0.5000
O2 O 0.0029 0.3314 0.5000
O3 O 0.0111 0.9177 0.0000
O4 O 0.1791 0.7199 0.0000
O5 O 0.1987 0.7915 0.5000
O6 O 0.2078 0.3800 0.0000
O7 O 0.2197 0.9642 0.5000
O8 O 0.2208 0.5484 0.0000
O9 O 0.2250 0.1318 0.5000
# Formation energy (no corrections), eV per atom: -2.85
# Crystal system: orthorhombic

---

[6]
# LaPm2As PBE relaxed
data_LaPm2As
_chemical_formula_sum 'La3 Pm6 As3'
_cell_length_a 3.9884
_cell_length_b 3.9884
_cell_length_c 28.9247
_cell_angle_alpha 90.00
_cell_angle_beta 90.00
_cell_angle_gamma 120.00
_symmetry_space_group_name_H-M 'R -3 m'
_symmetry_Int_Tables_number 166
_symmetry_space_group_name_Hall '-R 3 2"'
loop_
_atom_site_label
_atom_site_type_symbol
_atom_site_fract_x
_atom_site_fract_y
_atom_site_fract_z
La1 La 0.0000 0.0000 0.0000
Pm1 Pm 0.0000 0.0000 0.2276
As1 As 0.0000 0.0000 0.5000
# E_form, meV per atom: -626
# E above lowest polymorph, eV per atom: 0.005
# Crystal system: trigonal

---

[7]
# Ni2HgPt PBE relaxed
data_Ni2HgPt
_chemical_formula_sum 'Ni4 Hg2 Pt2'
_cell_length_a 5.8610
_cell_length_b 7.0067
_cell_length_c 2.8128
_cell_angle_alpha 90.00
_cell_angle_beta 90.00
_cell_angle_gamma 90.00
_symmetry_space_group_name_H-M 'C m m m'
_symmetry_Int_Tables_number 65
_symmetry_space_group_name_Hall '-C 2 2'
loop_
_atom_site_label
_atom_site_type_symbol
_atom_site_fract_x
_atom_site_fract_y
_atom_site_fract_z
Ni1 Ni 0.2500 0.2500 0.0000
Hg1 Hg 0.0000 0.0000 0.5000
Pt1 Pt 0.0000 0.5000 0.5000
# E_form, meV per atom: 99
# Crystal system: orthorhombic

---

[8]
# MgMnP4 PBE relaxed
data_MgMnP4
_chemical_formula_sum 'Mg4 Mn4 P16'
_cell_length_a 7.2074
_cell_length_b 7.2074
_cell_length_c 7.2074
_cell_angle_alpha 90.00
_cell_angle_beta 90.00
_cell_angle_gamma 90.00
_symmetry_space_group_name_H-M 'F -4 3 m'
_symmetry_Int_Tables_number 216
_symmetry_space_group_name_Hall 'F -4 2 3'
loop_
_atom_site_label
_atom_site_type_symbol
_atom_site_fract_x
_atom_site_fract_y
_atom_site_fract_z
Mg1 Mg 0.0000 0.0000 0.0000
Mn1 Mn 0.2500 0.2500 0.7500
P1 P 0.1243 0.1243 0.3757
# E_form, meV per atom: 424
# Crystal system: cubic

---

Quick rundown of electronic total energy, same order as above: -54.763, -61.067, -79.630, -258.626, -439.890, -64.744, -35.018, -119.428 eV for the cell shown